Record 1
The following is a DFT calculation (PBE) of an optimized crystal structure of Sm14DyHo.

- Volume: 535.0 Å³/cell
- Energy relative to the elements: 0.02 eV per atom

a = 7.241 Å, b = 7.241 Å, c = 10.203 Å
α = 90.00°, β = 90.00°, γ = 90.00°
Space group P4/mmm (No. 123)
Inequivalent atoms, fractional coordinates:
1 Sm 0.000 0.000 0.000 [1 per cell]
2 Sm 0.000 0.500 0.000 [2 per cell]
3 Sm 0.000 0.500 0.500 [2 per cell]
4 Sm 0.250 0.250 0.251 [8 per cell]
5 Sm 0.500 0.500 0.000 [1 per cell]
6 Dy 0.000 0.000 0.500 [1 per cell]
7 Ho 0.500 0.500 0.500 [1 per cell]

Record 2
The following is a DFT calculation (PBE) of an optimized crystal structure of SmDy4Ho4.

- Volume: 565.5 Å³/cell
- Relative energy among the computed polymorphs: 0.000 eV/atom
- Energy relative to the elements: 0.02 eV per atom

a = 10.636 Å, b = 10.636 Å, c = 4.999 Å
α = 90.00°, β = 90.00°, γ = 90.00°
Space group I4/mmm (No. 139)
Inequivalent atoms, fractional coordinates:
1 Sm 0.000 0.000 0.000 [2 per cell]
2 Dy 0.000 0.334 0.000 [8 per cell]
3 Ho 0.167 0.167 0.500 [8 per cell]

Record 3
The following is a DFT calculation (PBE) of an optimized crystal structure of Sm4Dy2Ho3.

- Volume: 296.2 Å³/cell
- Relative energy among the computed polymorphs: 0.000 eV/atom
- Energy relative to the elements: 0.05 eV per atom

a = 3.5989 Å, b = 3.5989 Å, c = 26.4078 Å
α = 90.00°, β = 90.00°, γ = 120.00°
Space group P3m1 (No. 156)
Inequivalent atoms, fractional coordinates:
1 Sm 0.0000 0.0000 0.0000 [1 per cell]
2 Sm 0.0000 0.0000 0.2164 [1 per cell]
3 Sm 0.3333 0.6667 0.3290 [1 per cell]
4 Sm 0.3333 0.6667 0.5473 [1 per cell]
5 Dy 0.0000 0.0000 0.6569 [1 per cell]
6 Dy 0.0000 0.0000 0.8680 [1 per cell]
7 Ho 0.0000 0.0000 0.4380 [1 per cell]
8 Ho 0.3333 0.6667 0.1063 [1 per cell]
9 Ho 0.3333 0.6667 0.7636 [1 per cell]

Record 4
The following is a DFT calculation (PBE) of an optimized crystal structure of SmDy8Ho2.

- Volume: 707.0 Å³/cell
- Relative energy among the computed polymorphs: 0.097 eV/atom
- Energy relative to the elements: 0.11 eV per atom

a = 5.503 Å, b = 8.099 Å, c = 15.861 Å
α = 90.00°, β = 90.00°, γ = 90.00°
Space group Immm (No. 71)
Inequivalent atoms, fractional coordinates:
1 Sm 0.000 0.000 0.000 [2 per cell]
2 Dy 0.000 0.205 0.500 [4 per cell]
3 Dy 0.000 0.293 0.139 [8 per cell]
4 Dy 0.000 0.500 0.337 [4 per cell]
5 Ho 0.000 0.000 0.300 [4 per cell]

Record 5
The following is a DFT calculation (PBE) of an optimized crystal structure of Sm4Dy2Ho.

- Volume: 458.6 Å³/cell
- Relative energy among the computed polymorphs: 0.000 eV/atom
- Energy relative to the elements: 0.13 eV per atom

a = 6.189 Å, b = 6.608 Å, c = 11.592 Å
α = 90.00°, β = 104.67°, γ = 90.00°
Space group P2_1/m (No. 11)
Inequivalent atoms, fractional coordinates:
1 Sm 0.037 0.250 0.363 [2 per cell]
2 Sm 0.150 0.250 0.949 [2 per cell]
3 Sm 0.350 0.509 0.214 [4 per cell]
4 Dy 0.288 0.750 0.924 [2 per cell]
5 Dy 0.393 0.750 0.505 [2 per cell]
6 Ho 0.151 0.250 0.663 [2 per cell]

Record 6
The following is a DFT calculation (PBE) of an optimized crystal structure of SmDy8Ho2.

- Volume: 692.9 Å³/cell
- Relative energy among the computed polymorphs: 0.000 eV/atom
- Energy relative to the elements: 0.02 eV per atom

a = 18.080 Å, b = 5.008 Å, c = 7.934 Å
α = 90.00°, β = 105.30°, γ = 90.00°
Space group C2/m (No. 12)
Inequivalent atoms, fractional coordinates:
1 Sm 0.000 0.000 0.000 [2 per cell]
2 Dy 0.046 0.500 0.727 [4 per cell]
3 Dy 0.091 0.000 0.456 [4 per cell]
4 Dy 0.137 0.500 0.183 [4 per cell]
5 Dy 0.182 0.000 0.909 [4 per cell]
6 Ho 0.228 0.500 0.636 [4 per cell]

Record 7
The following is a DFT calculation (PBE) of an optimized crystal structure of Sm3Dy7Ho2.

- Volume: 387.0 Å³/cell
- Relative energy among the computed polymorphs: 0.006 eV/atom
- Energy relative to the elements: 0.09 eV per atom

a = 5.816 Å, b = 3.558 Å, c = 18.732 Å
α = 90.00°, β = 93.16°, γ = 90.00°
Space group P2/m (No. 10)
Inequivalent atoms, fractional coordinates:
1 Sm 0.000 0.000 0.000 [1 per cell]
2 Sm 0.278 0.500 0.633 [2 per cell]
3 Dy 0.188 0.500 0.144 [2 per cell]
4 Dy 0.243 0.000 0.463 [2 per cell]
5 Dy 0.310 0.000 0.823 [2 per cell]
6 Dy 0.500 0.500 0.000 [1 per cell]
7 Ho 0.210 0.000 0.293 [2 per cell]

Record 8
The following is a DFT calculation (PBE) of an optimized crystal structure of Sm6DyHo2.

- Volume: 606.4 Å³/cell
- Relative energy among the computed polymorphs: 0.186 eV/atom
- Energy relative to the elements: 0.20 eV per atom

a = 13.107 Å, b = 7.568 Å, c = 6.113 Å
α = 90.00°, β = 90.00°, γ = 90.00°
Space group C2/m (No. 12)
Inequivalent atoms, fractional coordinates:
1 Sm 0.095 0.217 0.290 [8 per cell]
2 Sm 0.188 0.500 0.711 [4 per cell]
3 Dy 0.000 0.500 0.000 [2 per cell]
4 Ho 0.167 0.000 0.785 [4 per cell]

Record 9
The following is a DFT calculation (PBE) of an optimized crystal structure of SmDyHo.

- Volume: 95.7 Å³/cell
- Relative energy among the computed polymorphs: 0.060 eV/atom
- Energy relative to the elements: 0.07 eV per atom

a = 5.6486 Å, b = 5.6486 Å, c = 3.4638 Å
α = 90.00°, β = 90.00°, γ = 120.00°
Space group P-6m2 (No. 187)
Inequivalent atoms, fractional coordinates:
1 Sm 0.0000 0.0000 0.0000 [1 per cell]
2 Dy 0.3333 0.6667 0.5000 [1 per cell]
3 Ho 0.6667 0.3333 0.5000 [1 per cell]

Record 10
The following is a DFT calculation (PBE) of an optimized crystal structure of SmDy2Ho4.

- Volume: 442.7 Å³/cell
- Relative energy among the computed polymorphs: 0.095 eV/atom
- Energy relative to the elements: 0.13 eV per atom

a = 6.024 Å, b = 6.574 Å, c = 11.523 Å
α = 90.00°, β = 104.02°, γ = 90.00°
Space group P2_1/m (No. 11)
Inequivalent atoms, fractional coordinates:
1 Sm 0.036 0.250 0.362 [2 per cell]
2 Dy 0.160 0.250 0.948 [2 per cell]
3 Dy 0.400 0.750 0.508 [2 per cell]
4 Ho 0.145 0.250 0.663 [2 per cell]
5 Ho 0.278 0.750 0.923 [2 per cell]
6 Ho 0.347 0.508 0.210 [4 per cell]

Record 11
The following is a DFT calculation (PBE) of an optimized crystal structure of Sm3Dy2Ho5.

- Volume: 1360.2 Å³/cell
- Relative energy among the computed polymorphs: 0.149 eV/atom
- Energy relative to the elements: 0.35 eV per atom

a = 12.863 Å, b = 16.791 Å, c = 6.297 Å
α = 90.00°, β = 90.00°, γ = 90.00°
Space group Ibam (No. 72)
Inequivalent atoms, fractional coordinates:
1 Sm 0.000 0.000 0.250 [4 per cell]
2 Sm 0.158 0.247 0.000 [8 per cell]
3 Dy 0.103 0.156 0.500 [8 per cell]
4 Ho 0.000 0.500 0.250 [4 per cell]
5 Ho 0.099 0.344 0.500 [8 per cell]
6 Ho 0.248 0.500 0.250 [8 per cell]

Record 12
The following is a DFT calculation (PBE) of an optimized crystal structure of SmDy3Ho3.

- Volume: 446.5 Å³/cell
- Relative energy among the computed polymorphs: 0.000 eV/atom
- Energy relative to the elements: 0.01 eV per atom

a = 9.5467 Å, b = 9.5467 Å, c = 5.6569 Å
α = 90.00°, β = 90.00°, γ = 120.00°
Space group P6_3/m (No. 176)
Inequivalent atoms, fractional coordinates:
1 Sm 0.3333 0.6667 0.2500 [2 per cell]
2 Dy 0.0484 0.2376 0.2500 [6 per cell]
3 Ho 0.0956 0.4766 0.7500 [6 per cell]

Record 13
The following is a DFT calculation (PBE) of an optimized crystal structure of Sm3Dy4Ho5.

- Volume: 779.9 Å³/cell
- Relative energy among the computed polymorphs: 0.220 eV/atom
- Energy relative to the elements: 0.24 eV per atom

a = 15.954 Å, b = 5.889 Å, c = 9.248 Å
α = 90.00°, β = 116.14°, γ = 90.00°
Space group C2/m (No. 12)
Inequivalent atoms, fractional coordinates:
1 Sm 0.000 0.000 0.000 [2 per cell]
2 Sm 0.209 0.500 0.231 [4 per cell]
3 Dy 0.082 0.500 0.442 [4 per cell]
4 Dy 0.210 0.500 0.878 [4 per cell]
5 Ho 0.000 0.500 0.000 [2 per cell]
6 Ho 0.073 0.000 0.698 [4 per cell]
7 Ho 0.173 0.000 0.388 [4 per cell]

Record 14
The following is a DFT calculation (PBE) of an optimized crystal structure of Sm6Dy4Ho.

- Volume: 763.5 Å³/cell
- Relative energy among the computed polymorphs: 0.266 eV/atom
- Energy relative to the elements: 0.39 eV per atom

a = 7.492 Å, b = 7.492 Å, c = 13.604 Å
α = 90.00°, β = 90.00°, γ = 90.00°
Space group I-42m (No. 121)
Inequivalent atoms, fractional coordinates:
1 Sm 0.000 0.500 0.000 [4 per cell]
2 Sm 0.227 0.227 0.187 [8 per cell]
3 Dy 0.166 0.166 0.419 [8 per cell]
4 Ho 0.000 0.000 0.000 [2 per cell]

Record 15
The following is a DFT calculation (PBE) of an optimized crystal structure of Sm2Dy15Ho2.

- Volume: 1896.6 Å³/cell
- Energy relative to the elements: 0.28 eV per atom

a = 11.1591 Å, b = 11.1591 Å, c = 17.5866 Å
α = 90.00°, β = 90.00°, γ = 120.00°
Space group R-3m (No. 166, hexagonal axes)
Inequivalent atoms, fractional coordinates:
1 Sm 0.0000 0.0000 0.1758 [6 per cell]
2 Dy 0.0000 0.2975 0.5000 [18 per cell]
3 Dy 0.0000 0.5000 0.0000 [9 per cell]
4 Dy 0.0129 0.5065 0.6361 [18 per cell]
5 Ho 0.0000 0.0000 0.4043 [6 per cell]

Record 16
The following is a DFT calculation (PBE) of an optimized crystal structure of Sm4Dy5Ho3.

- Volume: 790.4 Å³/cell
- Relative energy among the computed polymorphs: 0.216 eV/atom
- Energy relative to the elements: 0.23 eV per atom

a = 16.076 Å, b = 5.901 Å, c = 9.314 Å
α = 90.00°, β = 116.54°, γ = 90.00°
Space group C2/m (No. 12)
Inequivalent atoms, fractional coordinates:
1 Sm 0.083 0.000 0.443 [4 per cell]
2 Sm 0.215 0.000 0.880 [4 per cell]
3 Dy 0.000 0.000 0.000 [2 per cell]
4 Dy 0.072 0.500 0.701 [4 per cell]
5 Dy 0.172 0.500 0.386 [4 per cell]
6 Ho 0.000 0.500 0.000 [2 per cell]
7 Ho 0.210 0.000 0.233 [4 per cell]

Record 17
The following is a DFT calculation (PBE) of an optimized crystal structure of Sm4Dy11Ho9.

- Volume: 1521.5 Å³/cell
- Energy relative to the elements: 0.05 eV per atom

a = 20.438 Å, b = 21.126 Å, c = 3.524 Å
α = 90.00°, β = 90.00°, γ = 90.00°
Space group Cmmm (No. 65)
Inequivalent atoms, fractional coordinates:
1 Sm 0.135 0.086 0.000 [8 per cell]
2 Dy 0.000 0.158 0.500 [4 per cell]
3 Dy 0.000 0.331 0.500 [4 per cell]
4 Dy 0.000 0.500 0.500 [2 per cell]
5 Dy 0.242 0.500 0.500 [4 per cell]
6 Dy 0.247 0.332 0.500 [8 per cell]
7 Ho 0.000 0.000 0.000 [2 per cell]
8 Ho 0.121 0.415 0.000 [8 per cell]
9 Ho 0.124 0.248 0.000 [8 per cell]

Record 18
The following is a DFT calculation (PBE) of an optimized crystal structure of Sm2Dy4Ho3.

- Volume: 1142.3 Å³/cell
- Energy relative to the elements: 0.09 eV per atom

a = 16.176 Å, b = 11.586 Å, c = 6.128 Å
α = 90.00°, β = 95.99°, γ = 90.00°
Space group C2/c (No. 15)
Inequivalent atoms, fractional coordinates:
1 Sm 0.121 0.144 0.322 [8 per cell]
2 Dy 0.047 0.359 0.014 [8 per cell]
3 Dy 0.215 0.140 0.848 [8 per cell]
4 Ho 0.000 0.097 0.750 [4 per cell]
5 Ho 0.165 0.402 0.591 [8 per cell]

Record 19
The following is a DFT calculation (PBE) of an optimized crystal structure of Sm4DyHo5.

- Volume: 667.8 Å³/cell
- Relative energy among the computed polymorphs: 0.060 eV/atom
- Energy relative to the elements: 0.25 eV per atom

a = 10.620 Å, b = 10.620 Å, c = 5.920 Å
α = 90.00°, β = 90.00°, γ = 90.00°
Space group I4mm (No. 107)
Inequivalent atoms, fractional coordinates:
1 Sm 0.000 0.323 0.000 [8 per cell]
2 Dy 0.000 0.000 0.239 [2 per cell]
3 Ho 0.000 0.000 0.764 [2 per cell]
4 Ho 0.189 0.189 0.502 [8 per cell]